# 1
SrBeCoN2 | GGA-PBE | relaxed

```
5
Lattice="3.917 0.000 0.000 0.000 3.917 0.000 0.000 0.000 4.017" Properties=species:S:1:pos:R:3 pbc="T T T"
Sr 0.000 0.000 0.000
Be 1.959 1.959 2.008
Co 1.959 1.959 0.000
N 0.000 1.959 2.008
N 1.959 0.000 2.008
```

Computed properties:
Formation energy without anion corrections, eV/atom: 0.85

# 2
SrAgP2 | GGA-PBE | relaxed

```
4
Lattice="2.252 1.300 5.117 -2.252 1.300 5.117 0.000 -2.600 5.117" Properties=species:S:1:pos:R:3 pbc="T T T"
Sr 0.000 0.000 0.000
Ag 0.000 0.000 12.206
P 0.000 0.000 3.140
P 0.000 0.000 7.634
```

Computed properties:
ΔH_f (0 K), eV/atom: -0.1230

# 3
AlB3Pb | GGA-PBE | relaxed

```
5
Lattice="4.289 0.000 0.000 0.000 4.289 0.000 0.000 0.000 4.289" Properties=species:S:1:pos:R:3 pbc="T T T"
Al 0.000 0.000 0.000
B 0.000 0.000 2.144
B 0.000 2.144 0.000
B 2.144 0.000 0.000
Pb 2.144 2.144 2.144
```

Computed properties:
ΔH_f (0 K), eV/atom: 1.6039
ΔE to the lowest computed polymorph, eV per atom: 0.000

# 4
CsRb2TlCd | GGA-PBE | relaxed

```
5
Lattice="8.349 0.000 0.000 0.000 8.349 0.000 0.000 0.000 6.869" Properties=species:S:1:pos:R:3 pbc="T T T"
Cs 0.000 0.000 0.000
Rb 0.000 4.174 0.000
Rb 4.174 0.000 0.000
Tl 0.000 0.000 3.434
Cd 4.174 4.174 3.434
```

Computed properties:
ΔH_f (0 K), eV/atom: 0.4750
ΔE to the lowest computed polymorph, eV per atom: 0.436

# 5
Dy2TiTl2Se6 | GGA-PBE | relaxed

```
11
Lattice="3.478 -5.984 0.000 3.478 5.984 0.000 -2.434 0.000 7.780" Properties=species:S:1:pos:R:3 pbc="T T T"
Dy 3.478 3.975 0.000
Dy 3.478 -3.975 0.000
Ti 3.478 0.000 0.000
Tl 2.261 2.065 3.890
Tl 2.261 -2.065 3.890
Se -0.034 1.828 6.236
Se 1.354 0.000 1.543
Se -0.034 -1.828 6.236
Se 4.557 1.828 1.544
Se 3.169 0.000 6.238
Se 4.557 -1.828 1.544
```

Computed properties:
Formation energy without anion corrections, eV/atom: -1.27

# 6
Ni2HgPd2 | GGA-PBE | relaxed

```
5
Lattice="-1.683 1.683 7.007 1.683 -1.683 7.007 1.683 1.683 -7.007" Properties=species:S:1:pos:R:3 pbc="T T T"
Ni 1.683 0.000 3.503
Ni 0.000 1.683 3.503
Hg 0.000 0.000 0.000
Pd 0.000 0.000 5.480
Pd 0.000 0.000 8.533
```

Computed properties:
ΔH_f (0 K), eV/atom: 0.1967
ΔE to the lowest computed polymorph, eV per atom: 0.067

# 7
TiCo3H | GGA-PBE | relaxed

```
10
Lattice="4.565 -2.551 0.000 4.565 2.551 0.000 -0.050 0.000 4.141" Properties=species:S:1:pos:R:3 pbc="T T T"
Ti 0.000 0.000 0.000
Ti 5.846 0.000 2.156
Co 2.254 1.188 0.052
Co 3.625 1.219 2.138
Co 1.492 0.000 2.122
Co 4.295 0.000 0.062
Co 2.254 -1.188 0.052
Co 3.625 -1.219 2.138
H 5.905 0.000 0.041
H 7.601 0.000 1.214
```

Computed properties:
ΔE to the lowest computed polymorph, eV per atom: 0.052

# 8
Te2RhSeI | GGA-PBE | relaxed

```
5
Lattice="5.497 0.000 0.000 0.000 5.497 0.000 0.000 0.000 5.466" Properties=species:S:1:pos:R:3 pbc="T T T"
Te 0.000 2.748 0.000
Te 2.748 0.000 0.000
Rh 0.000 0.000 2.733
Se 2.748 2.748 0.000
I 2.748 2.748 2.733
```

Computed properties:
Formation energy without anion corrections, eV/atom: 1.05
ΔE to the lowest computed polymorph, eV per atom: 0.612

# 9
TlTe3 | GGA-PBE | relaxed

```
4
Lattice="6.506 -1.569 0.000 6.506 1.569 0.000 -0.803 0.000 6.873" Properties=species:S:1:pos:R:3 pbc="T T T"
Tl 0.000 0.000 0.000
Te 3.696 0.000 1.556
Te 6.104 0.000 3.437
Te 8.512 0.000 5.318
```

Computed properties:
Formation energy without anion corrections, eV/atom: 0.01

# 10
Hf2ScIr2 | GGA-PBE | relaxed

```
10
Lattice="7.436 0.000 0.000 0.000 7.436 0.000 0.000 0.000 3.473" Properties=species:S:1:pos:R:3 pbc="T T T"
Hf 1.194 2.524 0.000
Hf 2.524 6.242 0.000
Hf 4.912 1.194 0.000
Hf 6.242 4.912 0.000
Sc 0.000 0.000 1.737
Sc 3.718 3.718 1.737
Ir 1.039 4.756 1.737
Ir 2.679 1.039 1.737
Ir 4.756 6.397 1.737
Ir 6.397 2.679 1.737
```

Computed properties:
ΔH_f (0 K), eV/atom: -0.7546
ΔE to the lowest computed polymorph, eV per atom: 0.039

# 11
TiBe2Cr | GGA-PBE | relaxed

```
4
Lattice="0.000 2.840 2.840 2.840 0.000 2.840 2.840 2.840 0.000" Properties=species:S:1:pos:R:3 pbc="T T T"
Ti 0.000 0.000 0.000
Be 1.420 1.420 1.420
Be 4.259 4.259 4.259
Cr 2.840 2.840 2.840
```

Computed properties:
ΔH_f (0 K), eV/atom: -0.0052
ΔE to the lowest computed polymorph, eV per atom: 0.000

# 12
SrIr | GGA-PBE | relaxed

```
6
Lattice="5.512 -2.277 0.000 5.512 2.277 0.000 -0.820 0.000 6.235" Properties=species:S:1:pos:R:3 pbc="T T T"
Sr 0.000 0.000 0.000
Sr 2.552 0.000 4.539
Sr 5.880 0.000 2.787
Ir 2.939 0.000 1.433
Ir 7.682 0.000 0.172
Ir 9.044 0.000 2.387
```

Computed properties:
ΔH_f (0 K), eV/atom: -0.1185

# 13
Ba2Mg2Pt | GGA-PBE | relaxed

```
10
Lattice="7.276 0.000 0.000 0.000 7.276 0.000 0.000 0.000 5.839" Properties=species:S:1:pos:R:3 pbc="T T T"
Ba 1.317 2.321 0.000
Ba 2.321 5.958 0.000
Ba 4.955 1.317 0.000
Ba 5.958 4.955 0.000
Mg 1.121 4.759 2.920
Mg 2.517 1.121 2.920
Mg 4.759 6.155 2.920
Mg 6.155 2.517 2.920
Pt 0.000 0.000 2.920
Pt 3.638 3.638 2.920
```

Computed properties:
ΔH_f (0 K), eV/atom: -0.1672
ΔE to the lowest computed polymorph, eV per atom: 0.214

# 14
KRb2PtCl6 | GGA-PBE | relaxed

```
20
Lattice="3.625 2.093 14.854 -3.625 2.093 14.854 0.000 -4.186 14.854" Properties=species:S:1:pos:R:3 pbc="T T T"
K 0.000 0.000 3.795
K 0.000 0.000 40.766
Rb 0.000 0.000 8.528
Rb 0.000 0.000 16.006
Rb 0.000 0.000 28.555
Rb 0.000 0.000 36.032
Pt 0.000 0.000 0.000
Pt 0.000 0.000 22.280
Cl 0.000 -2.189 13.439
Cl -1.895 1.094 13.439
Cl -1.718 -0.992 23.712
Cl 0.000 -1.984 20.849
Cl -1.718 0.992 20.849
Cl -1.895 -1.094 31.122
Cl 1.895 1.094 13.439
Cl 1.718 -0.992 23.712
Cl 0.000 1.984 23.712
Cl 1.718 0.992 20.849
Cl 1.895 -1.094 31.122
Cl 0.000 2.189 31.122
```

Computed properties:
Formation energy without anion corrections, eV/atom: -1.31
ΔE to the lowest computed polymorph, eV per atom: 0.000

# 15
Tl2TcW | GGA-PBE | relaxed

```
4
Lattice="2.981 0.000 0.000 0.000 4.341 0.000 0.000 0.000 5.982" Properties=species:S:1:pos:R:3 pbc="T T T"
Tl 0.000 0.000 1.481
Tl 0.000 0.000 4.501
Tc 1.490 2.170 0.000
W 1.490 2.170 2.991
```

Computed properties:
ΔH_f (0 K), eV/atom: 1.1639
ΔE to the lowest computed polymorph, eV per atom: 0.717

# 16
Li2ZnPt | GGA-PBE | relaxed

```
4
Lattice="2.950 0.000 0.000 0.000 4.325 0.000 0.000 0.000 4.391" Properties=species:S:1:pos:R:3 pbc="T T T"
Li 0.000 0.000 0.000
Li 1.475 2.162 0.000
Zn 0.000 2.162 2.195
Pt 1.475 0.000 2.195
```

Computed properties:
ΔH_f (0 K), eV/atom: -0.4658

# 17
CeNpAs2Rh2 | GGA-PBE | relaxed

```
6
Lattice="4.256 0.000 0.000 -2.128 3.686 0.000 0.000 0.000 7.604" Properties=species:S:1:pos:R:3 pbc="T T T"
Ce 0.000 0.000 0.000
Np 0.000 0.000 3.802
As 0.000 2.457 5.844
As 2.128 1.229 1.760
Rh 0.000 2.457 2.229
Rh 2.128 1.229 5.375
```

Computed properties:
ΔH_f (0 K), eV/atom: -0.8956

# 18
K2PmTeS4 | GGA-PBE | relaxed

```
16
Lattice="5.912 -5.898 0.000 5.912 5.898 0.000 -5.416 0.000 6.393" Properties=species:S:1:pos:R:3 pbc="T T T"
K 0.000 0.000 0.000
K -2.708 0.000 3.197
K 2.956 2.949 0.000
K 0.248 -2.949 3.197
Pm 5.912 0.000 0.000
Pm 3.204 0.000 3.197
Te 0.248 2.949 3.197
Te 2.956 -2.949 0.000
S 2.884 2.805 3.120
S 0.380 0.230 3.516
S 6.233 2.805 0.077
S 3.088 -0.230 0.319
S 3.320 0.230 6.075
S 0.176 -2.805 6.316
S 6.028 -0.230 2.878
S 3.525 -2.805 3.274
```

Computed properties:
Formation energy without anion corrections, eV/atom: -1.11

# 19
AcHg2Te | GGA-PBE | relaxed

```
8
Lattice="4.694 0.000 0.000 0.000 4.620 0.000 -2.346 0.000 11.679" Properties=species:S:1:pos:R:3 pbc="T T T"
Ac 0.003 1.155 3.792
Ac 2.345 3.465 7.887
Hg -0.002 3.465 1.177
Hg -0.002 3.465 10.458
Hg 2.350 1.155 1.221
Hg 2.350 1.155 10.502
Te -0.002 1.155 7.206
Te 2.350 3.465 4.474
```

Computed properties:
Formation energy without anion corrections, eV/atom: -0.83
ΔE to the lowest computed polymorph, eV per atom: 0.000

# 20
ScTaGaAs2 | GGA-PBE | relaxed

```
5
Lattice="4.952 0.000 0.000 0.000 4.952 0.000 0.000 0.000 5.155" Properties=species:S:1:pos:R:3 pbc="T T T"
Sc 0.000 0.000 0.000
Ta 0.000 0.000 2.578
Ga 2.476 2.476 2.578
As 0.000 2.476 0.000
As 2.476 0.000 0.000
```

Computed properties:
ΔH_f (0 K), eV/atom: 0.9521

# 21
K3Ce2ThTe6 | GGA-PBE | relaxed

```
12
Lattice="3.994 -6.918 0.000 3.994 6.918 0.000 -2.663 0.000 8.292" Properties=species:S:1:pos:R:3 pbc="T T T"
K 0.000 0.000 0.000
K 3.994 2.323 0.000
K 3.994 -2.323 0.000
Ce 2.663 4.614 4.146
Ce 2.663 -4.614 4.146
Th 2.663 0.000 4.146
Te 1.354 2.267 2.352
Te 0.047 0.000 5.941
Te 1.354 -2.267 2.352
Te 3.971 2.267 5.939
Te 5.278 0.000 2.351
Te 3.971 -2.267 5.939
```

Computed properties:
Formation energy without anion corrections, eV/atom: -1.29

# 22
Ce4Pm2Sb3N2 | GGA-PBE | relaxed

```
11
Lattice="-2.345 2.345 13.151 2.345 -2.345 13.151 2.345 2.345 -13.151" Properties=species:S:1:pos:R:3 pbc="T T T"
Ce 2.345 0.000 2.235
Ce 2.345 0.000 10.916
Ce 0.000 2.345 2.235
Ce 0.000 2.345 10.916
Pm 0.000 0.000 5.166
Pm 0.000 0.000 21.136
Sb 0.000 0.000 8.445
Sb 0.000 0.000 13.151
Sb 0.000 0.000 17.857
N 0.000 0.000 2.738
N 0.000 0.000 23.564
```

Computed properties:
Formation energy without anion corrections, eV/atom: -1.12

# 23
TlCdFe2Ge | GGA-PBE | relaxed

```
5
Lattice="4.600 0.000 0.000 0.000 4.600 0.000 0.000 0.000 5.418" Properties=species:S:1:pos:R:3 pbc="T T T"
Tl 0.000 0.000 0.000
Cd 2.300 2.300 0.000
Fe 0.000 2.300 2.709
Fe 2.300 0.000 2.709
Ge 0.000 0.000 2.709
```

Computed properties:
ΔH_f (0 K), eV/atom: 0.8133

# 24
TiNb3Sb | GGA-PBE | relaxed

```
10
Lattice="5.400 0.000 0.000 0.000 4.764 0.000 -1.718 0.000 7.228" Properties=species:S:1:pos:R:3 pbc="T T T"
Ti 0.686 1.191 0.319
Ti 2.996 3.573 6.910
Nb -0.455 3.573 2.543
Nb 0.045 3.573 5.464
Nb 1.115 1.191 3.135
Nb 2.567 3.573 4.093
Nb 3.637 1.191 1.764
Nb 4.137 1.191 4.685
Sb 2.066 3.573 1.231
Sb 1.616 1.191 5.997
```

Computed properties:
Formation energy without anion corrections, eV/atom: -0.17
ΔE to the lowest computed polymorph, eV per atom: 0.000